Record 1
# UPaMo

A relaxed UPaMo crystal (PBE-GGA, Alexandria).

a b c (Å): 5.879 2.965 7.208
angles (deg): 90.00 90.00 90.00
Atoms (fractional coordinates):
U (0.250, 0.000, 0.150)
U (0.750, 0.000, 0.850)
Pa (0.000, 0.000, 0.500)
Pa (0.500, 0.000, 0.500)
Mo (0.250, 0.500, 0.836)
Mo (0.750, 0.500, 0.164)

Values from the calculation:
Total DFT energy (no corrections), eV per cell: -60.57
Space group: Pmma, No. 51
Energy of formation from the pure elements, meV per atom: 443.2

=====

Record 2
# ZnRhPb3

A relaxed ZnRhPb3 crystal (PBE-GGA, Alexandria).

a b c (Å): 5.305 5.305 5.305
angles (deg): 90.00 90.00 90.00
Atoms (fractional coordinates):
Zn (0.000, 0.000, 0.000)
Rh (0.500, 0.500, 0.500)
Pb (0.000, 0.500, 0.500)
Pb (0.500, 0.000, 0.500)
Pb (0.500, 0.500, 0.000)

Values from the calculation:
Total DFT energy (no corrections), eV per cell: -18.58
Space group: Pm-3m, No. 221
Energy of formation from the pure elements, meV per atom: 233.3

=====

Record 3
# BaY

A relaxed BaY crystal (PBE-GGA, Alexandria).

a b c (Å): 6.787 6.313 8.017
angles (deg): 90.00 90.00 90.00
Atoms (fractional coordinates):
Ba (0.083, 0.250, 0.122)
Ba (0.417, 0.750, 0.622)
Ba (0.583, 0.250, 0.378)
Ba (0.917, 0.750, 0.878)
Y (0.069, 0.250, 0.623)
Y (0.431, 0.750, 0.123)
Y (0.569, 0.250, 0.877)
Y (0.931, 0.750, 0.377)

Values from the calculation:
Total DFT energy (no corrections), eV per cell: -31.27
Space group: Pnma, No. 62
Energy of formation from the pure elements, meV per atom: 285.3